Here is a PBEsol-optimized structure of MnMoW2 from the Alexandria database. Energies are from SCAN.

Lattice parameters (Å, degrees): 2.682 2.682 8.500 90.00 90.00 108.55
Fractional coordinates of all 4 atoms:
Mo (0.500, 0.500, 0.265)
W (0.500, 0.500, 0.735)
W (0.000, 0.000, 0.001)
Mn (0.000, 0.000, 0.499)

Properties
Formation energy   0.0514 eV/atom
M_tot   1.90 μB per formula unit
Relative energy among the computed polymorphs   4 meV per atom
DFT total energy   -48.08 eV per atom

***

Here is a PBEsol-optimized structure of Mn4MoW from the Alexandria database. Energies are from SCAN.

Lattice parameters (Å, degrees): 4.667 4.667 4.667 60.00 60.00 60.00
Fractional coordinates of all 6 atoms:
Mn (0.375, 0.876, 0.375)
Mn (0.375, 0.375, 0.876)
Mn (0.876, 0.375, 0.375)
Mn (0.375, 0.375, 0.375)
W (0.000, 0.000, 0.000)
Mo (0.750, 0.750, 0.750)

Properties
Formation energy   0.0552 eV/atom
M_tot   0.00 μB per formula unit
DFT total energy   -29.54 eV per atom